[1]
The following is a DFT calculation (PBE) of a relaxed URe4P2 crystal.

Summary:
calculated density: 15.66 g/cm3
density of states at the Fermi level: 5.80 states/eV/f.u.
SG: Cmmm
magnetic moment: 1.87 μB per cell

Lattice parameters (Å, degrees): 7.092 7.092 4.019 90.00 90.00 146.76
Fractional positions:
U: 0.000 0.000 0.000
Re: 0.180 0.820 0.500
Re: 0.311 0.689 0.000
Re: 0.689 0.311 0.000
Re: 0.820 0.180 0.500
P: 0.416 0.584 0.500
P: 0.584 0.416 0.500

---

[2]
The following is a DFT calculation (PBE) of a relaxed UReP crystal.

Summary:
calculated density: 14.39 g/cm3
density of states at the Fermi level: 2.75 states/eV/f.u.
SG: P-6m2
magnetic moment: 0.00 μB per cell
relative energy among the computed polymorphs: 0.00 eV/f.u.

Lattice parameters (Å, degrees): 4.232 4.232 3.386 90.00 90.00 120.00
Fractional positions:
U: 0.000 0.000 0.000
Re: 0.333 0.667 0.500
P: 0.667 0.333 0.500

---

no.,energy relative to the elements (meV/atom)
1,-423
2,-458